# 1
# Ba2HfPd2O6 PBE relaxed
# * Fermi-level density of states: 8.94 states/eV/f.u.
# * size of the total moment: 2.8 μB per formula unit
# * raw total energy: -222.5 eV for the cell shown
# * mass density: 6.73 g cm⁻³
# * E_form (uncorrected): -1.8404 eV per atom
data_Ba2HfPd2O6
_space_group_name_H-M_alt 'R -3 m'
_space_group_IT_number 166
_space_group_name_Hall '-R 3 2"'
_cell_length_a 6.2350
_cell_length_b 6.2350
_cell_length_c 16.7499
_cell_angle_alpha 90.00
_cell_angle_beta 90.00
_cell_angle_gamma 120.00
loop_
_atom_site_label
_atom_site_type_symbol
_atom_site_fract_x
_atom_site_fract_y
_atom_site_fract_z
_atom_site_occupancy
Ba1 Ba 0.0000 0.0000 0.2179 1
Hf1 Hf 0.0000 0.0000 0.0000 1
Pd1 Pd 0.0000 0.0000 0.4127 1
O1 O 0.0396 0.5198 0.7478 1

# 2
# Zn3TeN PBE relaxed
# * Fermi-level density of states: 11.93 states/eV/f.u.
# * size of the total moment: 0.0 μB per formula unit
# * raw total energy: -7.1 eV for the cell shown
# * mass density: 3.87 g cm⁻³
# * distance to the lowest polymorph of the same formula: 1421.2 meV/atom
# * E_form (uncorrected): 1.6399 eV per atom
data_Zn3TeN
_space_group_name_H-M_alt 'P m -3 m'
_space_group_IT_number 221
_space_group_name_Hall '-P 4 2 3'
_cell_length_a 5.252
_cell_length_b 5.252
_cell_length_c 5.252
_cell_angle_alpha 90.00
_cell_angle_beta 90.00
_cell_angle_gamma 90.00
loop_
_atom_site_label
_atom_site_type_symbol
_atom_site_fract_x
_atom_site_fract_y
_atom_site_fract_z
_atom_site_occupancy
Zn1 Zn 0.000 0.000 0.500 1
Te1 Te 0.000 0.000 0.000 1
N1 N 0.500 0.500 0.500 1

# 3
# NdMgSc2 PBE relaxed
# * Fermi-level density of states: 6.58 states/eV/f.u.
# * size of the total moment: 0.0 μB per formula unit
# * raw total energy: -56.1 eV for the cell shown
# * mass density: 3.99 g cm⁻³
# * distance to the lowest polymorph of the same formula: 77.3 meV/atom
data_NdMgSc2
_space_group_name_H-M_alt 'R 3 m'
_space_group_IT_number 160
_space_group_name_Hall 'R 3 -2"'
_cell_length_a 3.3802
_cell_length_b 3.3802
_cell_length_c 32.5997
_cell_angle_alpha 90.00
_cell_angle_beta 90.00
_cell_angle_gamma 120.00
loop_
_atom_site_label
_atom_site_type_symbol
_atom_site_fract_x
_atom_site_fract_y
_atom_site_fract_z
_atom_site_occupancy
Nd1 Nd 0.0000 0.0000 0.0000 1
Mg1 Mg 0.0000 0.0000 0.8340 1
Sc1 Sc 0.0000 0.0000 0.2454 1
Sc2 Sc 0.0000 0.0000 0.4222 1

# 4
# SrLi2GaS4 PBE relaxed
# * Fermi-level density of states: 9.41 states/eV/f.u.
# * size of the total moment: 0.0 μB per formula unit
# * raw total energy: -68.6 eV for the cell shown
# * mass density: 2.92 g cm⁻³
# * E_form (uncorrected): -1.1537 eV per atom
data_SrLi2GaS4
_space_group_name_H-M_alt 'I 2 2 2'
_space_group_IT_number 23
_cell_length_a 6.637
_cell_length_b 6.647
_cell_length_c 7.708
_cell_angle_alpha 90.00
_cell_angle_beta 90.00
_cell_angle_gamma 90.00
loop_
_space_group_symop_operation_xyz
'x,y,z'
'-x,-y,z'
'x,-y,-z'
'-x,y,-z'
'x+1/2,y+1/2,z+1/2'
'-x+1/2,-y+1/2,z+1/2'
'x+1/2,-y+1/2,-z+1/2'
'-x+1/2,y+1/2,-z+1/2'
loop_
_atom_site_label
_atom_site_type_symbol
_atom_site_fract_x
_atom_site_fract_y
_atom_site_fract_z
_atom_site_occupancy
Sr1 Sr 0.000 0.000 0.000 1
Li1 Li 0.000 0.500 0.250 1
Ga1 Ga 0.000 0.000 0.500 1
S1 S 0.202 0.203 0.336 1

# 5
# LiCdRh2 PBE relaxed
# * Fermi-level density of states: 5.33 states/eV/f.u.
# * size of the total moment: 0.0 μB per formula unit
# * raw total energy: -17.8 eV for the cell shown
# * mass density: 8.86 g cm⁻³
data_LiCdRh2
_space_group_name_H-M_alt 'P 4/m m m'
_space_group_IT_number 123
_space_group_name_Hall '-P 4 2'
_cell_length_a 3.829
_cell_length_b 3.829
_cell_length_c 4.158
_cell_angle_alpha 90.00
_cell_angle_beta 90.00
_cell_angle_gamma 90.00
loop_
_atom_site_label
_atom_site_type_symbol
_atom_site_fract_x
_atom_site_fract_y
_atom_site_fract_z
_atom_site_occupancy
Li1 Li 0.000 0.000 0.000 1
Cd1 Cd 0.500 0.500 0.000 1
Rh1 Rh 0.000 0.500 0.500 1

# 6
# Be3HgI PBE relaxed
# * Fermi-level density of states: 4.83 states/eV/f.u.
# * size of the total moment: 0.0 μB per formula unit
# * raw total energy: -8.6 eV for the cell shown
# * mass density: 5.80 g cm⁻³
# * distance to the lowest polymorph of the same formula: 0.0 meV/atom
# * E_form (uncorrected): 0.8882 eV per atom
data_Be3HgI
_space_group_name_H-M_alt 'P m -3 m'
_space_group_IT_number 221
_space_group_name_Hall '-P 4 2 3'
_cell_length_a 4.665
_cell_length_b 4.665
_cell_length_c 4.665
_cell_angle_alpha 90.00
_cell_angle_beta 90.00
_cell_angle_gamma 90.00
loop_
_atom_site_label
_atom_site_type_symbol
_atom_site_fract_x
_atom_site_fract_y
_atom_site_fract_z
_atom_site_occupancy
Be1 Be 0.000 0.000 0.500 1
Hg1 Hg 0.000 0.000 0.000 1
I1 I 0.500 0.500 0.500 1